DFT (PBE) results for crystalline Li2CaH6 at its relaxed geometry.

Unit cell a=4.9824 b=4.9824 c=4.9824 alpha=60.00 beta=60.00 gamma=60.00
Positions (direct):
Li (0.2500, 0.2500, 0.2500)
Li (0.7500, 0.7500, 0.7500)
Ca (0.0000, 0.0000, 0.0000)
H (0.3101, 0.3101, 0.6899)
H (0.3101, 0.6899, 0.3101)
H (0.3101, 0.6899, 0.6899)
H (0.6899, 0.3101, 0.3101)
H (0.6899, 0.3101, 0.6899)
H (0.6899, 0.6899, 0.3101)

Output
- DOS at the Fermi energy: 3.910 states/eV per cell
- SG: No. 225
- Calculated density: 1.1 g/cm3
- DFT total energy: -22.0 eV/cell